DFT (PBE) results for a relaxed MgNbTlNi crystal.

Output
Crystal system: cubic
Size of the total moment: 0.033 μB/f.u.
Total DFT energy (no corrections): -0.32666 Ry/atom

Unit cell a=4.654 b=4.654 c=4.654 alpha=60.00 beta=60.00 gamma=60.00
Positions (direct):
1 Mg 0.000 0.000 0.000
2 Nb 0.250 0.250 0.250
3 Tl 0.500 0.500 0.500
4 Ni 0.750 0.750 0.750


DFT (PBE) results for a relaxed AlTe2Ir crystal.

Output
Crystal system: cubic
Size of the total moment: 0.001 μB/f.u.
Total DFT energy (no corrections): -0.30569 Ry/atom

Unit cell a=4.898 b=4.898 c=4.898 alpha=60.00 beta=60.00 gamma=60.00
Positions (direct):
1 Al 0.000 0.000 0.000
2 Te 0.500 0.500 0.500
3 Te 0.750 0.750 0.750
4 Ir 0.250 0.250 0.250


DFT (PBE) results for a relaxed Nd2GdTm3OsS2 crystal.

Output
Crystal system: orthorhombic
Size of the total moment: 0.034 μB/f.u.
Total DFT energy (no corrections): -0.44617 Ry/atom

Unit cell a=3.982 b=7.926 c=7.926 alpha=120.64 beta=90.00 gamma=90.00
Positions (direct):
1 Nd 0.000 0.208 0.792
2 Nd 0.000 0.792 0.208
3 Gd 0.000 0.390 0.390
4 Tm 0.500 0.032 0.032
5 Tm 0.500 0.547 0.799
6 Tm 0.500 0.799 0.547
7 Os 0.000 0.774 0.774
8 S 0.500 0.131 0.459
9 S 0.500 0.459 0.131


DFT (PBE) results for a relaxed YMgCuGe crystal.

Output
Crystal system: cubic
Size of the total moment: 0.000 μB/f.u.
Total DFT energy (no corrections): -0.30636 Ry/atom

Unit cell a=4.775 b=4.775 c=4.775 alpha=60.00 beta=60.00 gamma=60.00
Positions (direct):
1 Y 0.000 0.000 0.000
2 Mg 0.250 0.250 0.250
3 Cu 0.750 0.750 0.750
4 Ge 0.500 0.500 0.500


DFT (PBE) results for a relaxed ZrCoSiHg crystal.

Output
Crystal system: cubic
Size of the total moment: 1.019 μB/f.u.
Total DFT energy (no corrections): -0.38828 Ry/atom

Unit cell a=4.575 b=4.575 c=4.575 alpha=60.00 beta=60.00 gamma=60.00
Positions (direct):
1 Zr 0.000 0.000 0.000
2 Co 0.500 0.500 0.500
3 Si 0.250 0.250 0.250
4 Hg 0.750 0.750 0.750


DFT (PBE) results for a relaxed PrMoPd crystal.

Output
Crystal system: cubic
Energy relative to the elements: 0.541 eV/atom
Size of the total moment: 3.486 μB/f.u.

Unit cell a=4.746 b=4.746 c=4.746 alpha=60.00 beta=60.00 gamma=60.00
Positions (direct):
1 Pr 0.000 0.000 0.000
2 Mo 0.500 0.500 0.500
3 Pd 0.750 0.750 0.750


DFT (PBE) results for a relaxed NaSrNiAs crystal.

Output
Crystal system: cubic
Size of the total moment: 0.001 μB/f.u.
Total DFT energy (no corrections): -0.25559 Ry/atom

Unit cell a=4.799 b=4.799 c=4.799 alpha=60.00 beta=60.00 gamma=60.00
Positions (direct):
1 Na 0.000 0.000 0.000
2 Sr 0.750 0.750 0.750
3 Ni 0.500 0.500 0.500
4 As 0.250 0.250 0.250


DFT (PBE) results for a relaxed ZrCoGePd crystal.

Output
Crystal system: cubic
Size of the total moment: 0.538 μB/f.u.
Total DFT energy (no corrections): -0.49843 Ry/atom

Unit cell a=4.442 b=4.442 c=4.442 alpha=60.00 beta=60.00 gamma=60.00
Positions (direct):
1 Zr 0.000 0.000 0.000
2 Co 0.750 0.750 0.750
3 Ge 0.500 0.500 0.500
4 Pd 0.250 0.250 0.250


Copy entry 1 word for word.
DFT (PBE) results for a relaxed MgNbTlNi crystal.

Output
Crystal system: cubic
Size of the total moment: 0.033 μB/f.u.
Total DFT energy (no corrections): -0.32666 Ry/atom

Unit cell a=4.654 b=4.654 c=4.654 alpha=60.00 beta=60.00 gamma=60.00
Positions (direct):
1 Mg 0.000 0.000 0.000
2 Nb 0.250 0.250 0.250
3 Tl 0.500 0.500 0.500
4 Ni 0.750 0.750 0.750


Q: size of the total moment of number 7 (NaSrNiAs)?
A: 0.001 μB/f.u.


Q: The highest size of the total moment belongs to which entry?
A: PrMoPd


Copy entry 7 word for word.
DFT (PBE) results for a relaxed NaSrNiAs crystal.

Output
Crystal system: cubic
Size of the total moment: 0.001 μB/f.u.
Total DFT energy (no corrections): -0.25559 Ry/atom

Unit cell a=4.799 b=4.799 c=4.799 alpha=60.00 beta=60.00 gamma=60.00
Positions (direct):
1 Na 0.000 0.000 0.000
2 Sr 0.750 0.750 0.750
3 Ni 0.500 0.500 0.500
4 As 0.250 0.250 0.250